# PBE Rb2LaTmO4, relaxed
# mass density = 6.10 g/cm3
# calculated total energy = -6.55 eV/atom
# energy relative to the elements, uncorrected = -2656.3 meV per atom
data_Rb2LaTmO4
_chemical_formula_sum 'Rb2 La1 Tm1 O4'
_space_group_name_H-M_alt 'P 1 2/m 1'
_space_group_IT_number 10
_cell_length_a 6.244
_cell_length_b 3.600
_cell_length_c 6.892
_cell_angle_alpha 90.00
_cell_angle_beta 107.54
_cell_angle_gamma 90.00
loop_
_space_group_symop_operation_xyz
'x,y,z'
'-x,-y,-z'
'-x,y,-z'
'x,-y,z'
loop_
_atom_site_label
_atom_site_fract_x
_atom_site_fract_y
_atom_site_fract_z
Rb1 0.000 0.000 0.000
Rb2 0.500 0.500 0.000
La1 0.000 0.500 0.500
Tm1 0.500 0.000 0.500
O1 0.244 0.000 0.677
O2 0.289 0.500 0.324

=====

# PBE Rb4La3TmO8, relaxed
# mass density = 5.68 g/cm3
# calculated total energy = -6.56 eV/atom
# energy relative to the elements, uncorrected = -2631.0 meV per atom
data_Rb4La3TmO8
_chemical_formula_sum 'Rb12 La9 Tm3 O24'
_space_group_name_H-M_alt 'R -3 m'
_space_group_IT_number 166
_space_group_name_Hall '-R 3 2"'
_cell_length_a 7.3554
_cell_length_b 7.3554
_cell_length_c 19.7648
_cell_angle_alpha 90.00
_cell_angle_beta 90.00
_cell_angle_gamma 120.00
loop_
_atom_site_label
_atom_site_fract_x
_atom_site_fract_y
_atom_site_fract_z
Rb1 0.0000 0.0000 0.0000
Rb2 0.0000 0.5000 0.0000
La1 0.0000 0.5000 0.5000
Tm1 0.0000 0.0000 0.5000
O1 0.0000 0.0000 0.2270
O2 0.0158 0.5079 0.2259

=====

Q: What is the formula in the second record?
A: Rb4La3TmO8